The following is a GGA-PBE calculation of a geometry-optimized NaPmSn structure, from the Open Quantum Materials Database.

Output
Calculated density   4.8 Mg/m³
Energy   -3.6919 eV per atom

Geometry as POSCAR:
```
NaPmSn
1.0
0.0000 3.6866 3.6866
3.6866 0.0000 3.6866
3.6866 3.6866 0.0000
Na Pm Sn
1 1 1
Direct
0.0000 0.0000 0.0000
0.5000 0.5000 0.5000
0.2500 0.2500 0.2500
```